{
  "formula": "Hf8Si2Ge",
  "functional": "PBE",
  "state": "relaxed",
  "lattice": [[8.048, -1.950, 0.000], [8.048, 1.950, 0.000], [-0.998, 0.000, 7.173]],
  "species": ["Hf", "Hf", "Hf", "Hf", "Hf", "Hf", "Hf", "Hf", "Si", "Si", "Ge"],
  "fractional_positions": [[0.006, 0.006, 0.255], [0.206, 0.206, 0.844], [0.330, 0.330, 0.503], [0.405, 0.405, 0.985], [0.595, 0.595, 0.015], [0.670, 0.670, 0.497], [0.794, 0.794, 0.156], [0.994, 0.994, 0.745], [0.183, 0.183, 0.234], [0.817, 0.817, 0.766], [0.500, 0.500, 0.500]],
  "magnetic_moment_mub_per_fu": 0.00,
  "volume_a3_per_atom": 20.47,
  "formation_energy_uncorrected_ev_per_atom": -0.38
}